(1)
Sc4Bi3Se (PBE, relaxed); raw formation energy = -0.87 eV/atom; space group = No. 65
1.0
-3.891 -1.377 -0.556
1.372 -1.044 -7.021
1.606 -6.019 3.669
Sc Bi Se
4 3 1
Direct
0.000 0.236 0.236 Sc
0.500 0.758 0.242 Sc
0.000 0.764 0.764 Sc
0.500 0.242 0.758 Sc
0.000 0.000 0.500 Bi
0.500 0.500 0.500 Bi
0.000 0.500 0.000 Bi
0.500 0.000 0.000 Se



(2)
HfBi3Cl (PBE, relaxed); ΔE to the lowest computed polymorph = 0 kJ/mol of formula units; raw formation energy = 0.10 eV/atom; space group = No. 221
1.0
5.602 0.000 0.000
0.000 5.602 0.000
0.000 0.000 5.602
Hf Bi Cl
1 3 1
Direct
0.000 0.000 0.000 Hf
0.000 0.500 0.000 Bi
0.000 0.000 0.500 Bi
0.500 0.000 0.000 Bi
0.500 0.500 0.500 Cl